Entry from Alexandria via LeMat-Bulk: a relaxed structure of NbAlAg2 (PBE-GGA).

* M_tot: 0.000 μB/atom
* space group: R-3m, No. 166

a b c (Å): 10.453 10.453 10.453
angles (deg): 15.66 15.66 15.66
Fractional positions:
1 Nb 0.000 0.000 0.000
2 Al 0.500 0.500 0.500
3 Ag 0.092 0.092 0.092
4 Ag 0.908 0.908 0.908

---

Entry from Alexandria via LeMat-Bulk: a relaxed structure of NbAlAg2 (PBE-GGA).

* M_tot: 0.000 μB/atom
* space group: I-42d, No. 122

a b c (Å): 10.448 10.448 10.448
angles (deg): 158.71 158.71 30.29
Fractional positions:
1 Nb 0.000 0.000 0.000
2 Nb 0.750 0.250 0.500
3 Al 0.250 0.750 0.500
4 Al 0.500 0.500 0.000
5 Ag 0.131 0.625 0.006
6 Ag 0.375 0.381 0.506
7 Ag 0.619 0.125 0.994
8 Ag 0.875 0.869 0.494

---

Entry from Alexandria via LeMat-Bulk: a relaxed structure of NbAlAg (PBE-GGA).

* M_tot: 0.000 μB/atom
* ΔE to the lowest computed polymorph: 0.0 meV per atom
* space group: I4mm, No. 107

a b c (Å): 6.647 6.647 6.647
angles (deg): 155.33 155.33 35.17
Fractional positions:
1 Nb 0.000 0.000 0.000
2 Al 0.340 0.340 0.000
3 Ag 0.680 0.680 0.000

---

Entry from Alexandria via LeMat-Bulk: a relaxed structure of NbAl2Ag (PBE-GGA).

* M_tot: 0.191 μB/atom
* ΔE to the lowest computed polymorph: 272.8 meV per atom
* space group: Fm-3m, No. 225

a b c (Å): 4.544 4.544 4.544
angles (deg): 60.00 60.00 60.00
Fractional positions:
1 Nb 0.000 0.000 0.000
2 Al 0.250 0.250 0.250
3 Al 0.750 0.750 0.750
4 Ag 0.500 0.500 0.500

---

Entry from Alexandria via LeMat-Bulk: a relaxed structure of Nb2AlAgOs (PBE-GGA).

* M_tot: 0.000 μB/atom
* space group: P4/mmm, No. 123

a b c (Å): 4.872 4.872 4.703
angles (deg): 90.00 90.00 90.00
Fractional positions:
1 Nb 0.000 0.500 0.000
2 Nb 0.500 0.000 0.000
3 Al 0.000 0.000 0.500
4 Ag 0.500 0.500 0.500
5 Os 0.000 0.000 0.000

---

Entry from Alexandria via LeMat-Bulk: a relaxed structure of NbAl2AgSb (PBE-GGA).

* M_tot: 0.000 μB/atom
* ΔE to the lowest computed polymorph: 0.0 meV per atom
* formation energy from raw total energies: 650.3 meV per atom
* space group: P4/mmm, No. 123

a b c (Å): 5.054 5.054 5.264
angles (deg): 90.00 90.00 90.00
Fractional positions:
1 Nb 0.000 0.000 0.000
2 Al 0.000 0.500 0.000
3 Al 0.500 0.000 0.000
4 Ag 0.500 0.500 0.500
5 Sb 0.000 0.000 0.500

---

These records have raw total energy values of -4.578; -4.508; -5.649; -5.068; -6.763; -4.255 eV/atom, in the order they appear.